Compound: SmTh6Sn10
Source: Alexandria
Functional: PBE
Structure: relaxed

Computed properties:
Total magnetic moment: 0.0 Bohr magnetons per cell
Volume: 29.3 A^3/atom
ΔE_f: -46.5 kJ/mol of atoms
E_tot: -97.47 eV/cell

CIF file:
```
data_SmTh6Sn10
_chemical_formula_sum 'Sm1 Th6 Sn10'
_space_group_name_H-M_alt 'P -3 1 m'
_space_group_IT_number 162
_space_group_name_Hall '-P 3 2'
_cell_length_a 9.5582
_cell_length_b 9.5582
_cell_length_c 6.3042
_cell_angle_alpha 90.00
_cell_angle_beta 90.00
_cell_angle_gamma 120.00
loop_
_atom_site_label
_atom_site_type_symbol
_atom_site_fract_x
_atom_site_fract_y
_atom_site_fract_z
Sm1 Sm 0.0000 0.0000 0.0000
Th1 Th 0.0000 0.3855 0.7596
Sn1 Sn 0.0000 0.2694 0.2770
Sn2 Sn 0.3333 0.6667 0.0000
Sn3 Sn 0.3333 0.6667 0.5000
```


Compound: Tm8Si3PS4
Source: Alexandria
Functional: PBE
Structure: relaxed

Computed properties:
Total magnetic moment: 0.0 Bohr magnetons per cell
Volume: 22.0 A^3/atom
E_tot: -292.73 eV/cell
Formation energy without anion corrections: -1.476 eV per atom

CIF file:
```
data_Tm8Si3PS4
_chemical_formula_sum 'Tm24 Si9 P3 S12'
_space_group_name_H-M_alt 'R -3 m'
_space_group_IT_number 166
_space_group_name_Hall '-R 3 2"'
_cell_length_a 7.9183
_cell_length_b 7.9183
_cell_length_c 19.4206
_cell_angle_alpha 90.00
_cell_angle_beta 90.00
_cell_angle_gamma 120.00
loop_
_atom_site_label
_atom_site_type_symbol
_atom_site_fract_x
_atom_site_fract_y
_atom_site_fract_z
Tm1 Tm 0.0000 0.0000 0.2491
Tm2 Tm 0.0007 0.5004 0.2477
Si1 Si 0.0000 0.5000 0.5000
P1 P 0.0000 0.0000 0.5000
S1 S 0.0000 0.0000 0.0000
S2 S 0.0000 0.5000 0.0000
```


Compound: Dy2Pd2Pt
Source: Alexandria
Functional: PBE
Structure: relaxed

Computed properties:
Total magnetic moment: 0.0 Bohr magnetons per cell
Volume: 22.4 A^3/atom
E above lowest polymorph: 0.098 eV/atom
ΔE_f: -79.2 kJ/mol of atoms
E_tot: -118.94 eV/cell

CIF file:
```
data_Dy2Pd2Pt
_chemical_formula_sum 'Dy8 Pd8 Pt4'
_space_group_name_H-M_alt 'I b a m'
_space_group_IT_number 72
_space_group_name_Hall '-I 2 2c'
_cell_length_a 6.054
_cell_length_b 12.917
_cell_length_c 5.735
_cell_angle_alpha 90.00
_cell_angle_beta 90.00
_cell_angle_gamma 90.00
loop_
_atom_site_label
_atom_site_type_symbol
_atom_site_fract_x
_atom_site_fract_y
_atom_site_fract_z
Dy1 Dy 0.238 0.158 0.000
Pd1 Pd 0.198 0.381 0.000
Pt1 Pt 0.000 0.000 0.250
```


Compound: Ce3Ru
Source: Alexandria
Functional: PBE
Structure: relaxed

Computed properties:
Total magnetic moment: 2.8 Bohr magnetons per cell
Volume: 24.2 A^3/atom
ΔE_f: -16.1 kJ/mol of atoms
E_tot: -221.97 eV/cell

CIF file:
```
data_Ce3Ru
_chemical_formula_sum 'Ce24 Ru8'
_space_group_name_H-M_alt 'P 42/n'
_space_group_IT_number 86
_cell_length_a 11.694
_cell_length_b 11.694
_cell_length_c 5.663
_cell_angle_alpha 90.00
_cell_angle_beta 90.00
_cell_angle_gamma 90.00
loop_
_space_group_symop_operation_xyz
'x,y,z'
'-x,-y,-z'
'-y,x+1/2,z+1/2'
'y,-x+1/2,-z+1/2'
'-x+1/2,-y+1/2,z'
'x+1/2,y+1/2,-z'
'y+1/2,-x,z+1/2'
'-y+1/2,x,-z+1/2'
loop_
_atom_site_label
_atom_site_type_symbol
_atom_site_fract_x
_atom_site_fract_y
_atom_site_fract_z
Ce1 Ce 0.047 0.916 0.235
Ce2 Ce 0.115 0.309 0.500
Ce3 Ce 0.122 0.833 0.801
Ru1 Ru 0.067 0.328 0.994
```


Compound: TbPr5Dy
Source: Alexandria
Functional: PBE
Structure: relaxed

Computed properties:
Total magnetic moment: 0.0 Bohr magnetons per cell
Volume: 46.3 A^3/atom
ΔE_f: 92.3 kJ/mol of atoms
E_tot: -52.86 eV/cell

CIF file:
```
data_TbPr5Dy
_chemical_formula_sum 'Tb2 Pr10 Dy2'
_space_group_name_H-M_alt 'C 1 2/m 1'
_space_group_IT_number 12
_cell_length_a 13.587
_cell_length_b 8.907
_cell_length_c 5.959
_cell_angle_alpha 90.00
_cell_angle_beta 115.92
_cell_angle_gamma 90.00
loop_
_space_group_symop_operation_xyz
'x,y,z'
'-x,-y,-z'
'-x,y,-z'
'x,-y,z'
'x+1/2,y+1/2,z'
'-x+1/2,-y+1/2,-z'
'-x+1/2,y+1/2,-z'
'x+1/2,-y+1/2,z'
loop_
_atom_site_label
_atom_site_type_symbol
_atom_site_fract_x
_atom_site_fract_y
_atom_site_fract_z
Tb1 Tb 0.000 0.000 0.000
Pr1 Pr 0.000 0.177 0.500
Pr2 Pr 0.000 0.500 0.000
Pr3 Pr 0.249 0.500 0.749
Dy1 Dy 0.000 0.500 0.500
```


Compound: Ac12Co4Ir
Source: Alexandria
Functional: PBE
Structure: relaxed

Computed properties:
Total magnetic moment: 0.0 Bohr magnetons per cell
Volume: 37.8 A^3/atom
ΔE_f: -0.3 kJ/mol of atoms
E_tot: -173.28 eV/cell

CIF file:
```
data_Ac12Co4Ir
_chemical_formula_sum 'Ac24 Co8 Ir2'
_space_group_name_H-M_alt 'I m m m'
_space_group_IT_number 71
_space_group_name_Hall '-I 2 2'
_cell_length_a 10.862
_cell_length_b 10.883
_cell_length_c 10.885
_cell_angle_alpha 90.00
_cell_angle_beta 90.00
_cell_angle_gamma 90.00
loop_
_atom_site_label
_atom_site_type_symbol
_atom_site_fract_x
_atom_site_fract_y
_atom_site_fract_z
Ac1 Ac 0.000 0.176 0.214
Ac2 Ac 0.182 0.500 0.312
Ac3 Ac 0.209 0.179 0.500
Co1 Co 0.250 0.250 0.250
Ir1 Ir 0.000 0.000 0.500
```